VASP calculation (meta-GGA SCAN) on a crystal of CaInRe relaxed with PBEsol.

Calculated values
ρ: 8.854 g cm⁻³
total energy: -112.6 eV per formula unit
excess energy over the best structure of this formula in the dataset: 0.0 meV per atom
density of states at the Fermi level: 1.687 states/eV/f.u.
ΔH_f (0 K): 0.528 eV per atom

The structure in POSCAR format:
```
CaInRe
1.0
3.5188 0.0000 0.0000
0.0000 3.5188 0.0000
-1.7594 -1.7594 5.1668
Re Ca In
1 1 1
direct
0.3060 0.3060 0.6119
0.9935 0.9935 0.9871
0.7005 0.7005 0.4010
```